1.
Below is Cd2ReTc after structural relaxation, with properties calculated at the GGA-PBEsol level.

Cell and atoms, written as CIF:
```
data_Cd2ReTc
_chemical_formula_sum 'Cd4 Re2 Tc2'
_space_group_name_H-M_alt 'C m m m'
_space_group_IT_number 65
_space_group_name_Hall '-C 2 2'
_cell_length_a 3.179
_cell_length_b 4.379
_cell_length_c 9.431
_cell_angle_alpha 90.00
_cell_angle_beta 90.00
_cell_angle_gamma 90.00
loop_
_atom_site_label
_atom_site_type_symbol
_atom_site_fract_x
_atom_site_fract_y
_atom_site_fract_z
_atom_site_occupancy
Cd1 Cd 0.000 0.000 0.247 1
Re1 Re 0.000 0.500 0.500 1
Tc1 Tc 0.000 0.500 0.000 1
```

Values from the calculation:
**Crystal system**: orthorhombic
**ΔE_f**: 613.4 meV per atom

2.
Below is CdReTc2 after structural relaxation, with properties calculated at the GGA-PBEsol level.

Cell and atoms, written as CIF:
```
data_CdReTc2
_chemical_formula_sum 'Cd2 Re2 Tc4'
_space_group_name_H-M_alt 'I m m 2'
_space_group_IT_number 44
_space_group_name_Hall 'I 2 -2'
_cell_length_a 3.008
_cell_length_b 4.511
_cell_length_c 9.020
_cell_angle_alpha 90.00
_cell_angle_beta 90.00
_cell_angle_gamma 90.00
loop_
_atom_site_label
_atom_site_type_symbol
_atom_site_fract_x
_atom_site_fract_y
_atom_site_fract_z
_atom_site_occupancy
Cd1 Cd 0.000 0.000 0.000 1
Re1 Re 0.000 0.500 0.768 1
Tc1 Tc 0.000 0.000 0.499 1
Tc2 Tc 0.000 0.500 0.234 1
```

Values from the calculation:
**Crystal system**: orthorhombic
**ΔE_f**: 465.8 meV per atom

3.
Below is CdReTc2 after structural relaxation, with properties calculated at the GGA-PBEsol level.

Cell and atoms, written as CIF:
```
data_CdReTc2
_chemical_formula_sum 'Cd4 Re4 Tc8'
_space_group_name_H-M_alt 'F -4 3 m'
_space_group_IT_number 216
_space_group_name_Hall 'F -4 2 3'
_cell_length_a 6.246
_cell_length_b 6.246
_cell_length_c 6.246
_cell_angle_alpha 90.00
_cell_angle_beta 90.00
_cell_angle_gamma 90.00
loop_
_atom_site_label
_atom_site_type_symbol
_atom_site_fract_x
_atom_site_fract_y
_atom_site_fract_z
_atom_site_occupancy
Cd1 Cd 0.000 0.000 0.000 1
Re1 Re 0.250 0.250 0.750 1
Tc1 Tc 0.000 0.000 0.500 1
Tc2 Tc 0.250 0.250 0.250 1
```

Values from the calculation:
**Crystal system**: cubic
**ΔE_f**: 659.2 meV per atom

4.
Below is CdRe2Tc after structural relaxation, with properties calculated at the GGA-PBEsol level.

Cell and atoms, written as CIF:
```
data_CdRe2Tc
_chemical_formula_sum 'Cd2 Re4 Tc2'
_space_group_name_H-M_alt 'C m m 2'
_space_group_IT_number 35
_space_group_name_Hall 'C 2 -2'
_cell_length_a 2.920
_cell_length_b 4.554
_cell_length_c 9.374
_cell_angle_alpha 90.00
_cell_angle_beta 90.00
_cell_angle_gamma 90.00
loop_
_atom_site_label
_atom_site_type_symbol
_atom_site_fract_x
_atom_site_fract_y
_atom_site_fract_z
_atom_site_occupancy
Cd1 Cd 0.000 0.000 0.000 1
Re1 Re 0.000 0.000 0.505 1
Re2 Re 0.000 0.500 0.270 1
Tc1 Tc 0.000 0.500 0.736 1
```

Values from the calculation:
**Crystal system**: orthorhombic
**ΔE_f**: 407.3 meV per atom

5.
Below is CdReTe2 after structural relaxation, with properties calculated at the GGA-PBEsol level.

Cell and atoms, written as CIF:
```
data_CdReTe2
_chemical_formula_sum 'Cd2 Re2 Te4'
_space_group_name_H-M_alt 'I m m 2'
_space_group_IT_number 44
_space_group_name_Hall 'I 2 -2'
_cell_length_a 3.192
_cell_length_b 4.372
_cell_length_c 13.300
_cell_angle_alpha 90.00
_cell_angle_beta 90.00
_cell_angle_gamma 90.00
loop_
_atom_site_label
_atom_site_type_symbol
_atom_site_fract_x
_atom_site_fract_y
_atom_site_fract_z
_atom_site_occupancy
Cd1 Cd 0.000 0.000 0.000 1
Re1 Re 0.000 0.500 0.709 1
Te1 Te 0.000 0.000 0.369 1
Te2 Te 0.000 0.500 0.156 1
```

Values from the calculation:
**Crystal system**: orthorhombic
**Formation energy from raw total energies**: 0.459 eV per atom

6.
Below is Cd2ReTe after structural relaxation, with properties calculated at the GGA-PBEsol level.

Cell and atoms, written as CIF:
```
data_Cd2ReTe
_chemical_formula_sum 'Cd2 Re1 Te1'
_space_group_name_H-M_alt 'P 4 m m'
_space_group_IT_number 99
_space_group_name_Hall 'P 4 -2'
_cell_length_a 3.146
_cell_length_b 3.146
_cell_length_c 8.557
_cell_angle_alpha 90.00
_cell_angle_beta 90.00
_cell_angle_gamma 90.00
loop_
_atom_site_label
_atom_site_type_symbol
_atom_site_fract_x
_atom_site_fract_y
_atom_site_fract_z
_atom_site_occupancy
Cd1 Cd 0.000 0.000 0.000 1
Cd2 Cd 0.500 0.500 0.254 1
Re1 Re 0.000 0.000 0.476 1
Te1 Te 0.500 0.500 0.651 1
```

Values from the calculation:
**Crystal system**: tetragonal
**Formation energy from raw total energies**: 0.348 eV per atom

7.
Below is CdReTe2 after structural relaxation, with properties calculated at the GGA-PBEsol level.

Cell and atoms, written as CIF:
```
data_CdReTe2
_chemical_formula_sum 'Cd1 Re1 Te2'
_space_group_name_H-M_alt 'P 1 m 1'
_space_group_IT_number 6
_space_group_name_Hall 'P -2y'
_cell_length_a 4.728
_cell_length_b 3.121
_cell_length_c 7.082
_cell_angle_alpha 90.00
_cell_angle_beta 109.44
_cell_angle_gamma 90.00
loop_
_atom_site_label
_atom_site_type_symbol
_atom_site_fract_x
_atom_site_fract_y
_atom_site_fract_z
_atom_site_occupancy
Cd1 Cd 0.000 0.000 0.000 1
Re1 Re 0.523 0.500 0.046 1
Te1 Te 0.326 0.500 0.653 1
Te2 Te 0.678 0.000 0.356 1
```

Values from the calculation:
**Crystal system**: monoclinic
**Formation energy from raw total energies**: 0.383 eV per atom

8.
Below is CdReTe2 after structural relaxation, with properties calculated at the GGA-PBEsol level.

Cell and atoms, written as CIF:
```
data_CdReTe2
_chemical_formula_sum 'Cd3 Re3 Te6'
_space_group_name_H-M_alt 'R -3 m'
_space_group_IT_number 166
_space_group_name_Hall '-R 3 2"'
_cell_length_a 3.2999
_cell_length_b 3.2999
_cell_length_c 29.4383
_cell_angle_alpha 90.00
_cell_angle_beta 90.00
_cell_angle_gamma 120.00
loop_
_atom_site_label
_atom_site_type_symbol
_atom_site_fract_x
_atom_site_fract_y
_atom_site_fract_z
_atom_site_occupancy
Cd1 Cd 0.0000 0.0000 0.0000 1
Re1 Re 0.0000 0.0000 0.5000 1
Te1 Te 0.0000 0.0000 0.2323 1
```

Values from the calculation:
**Crystal system**: trigonal
**Formation energy from raw total energies**: 0.290 eV per atom